Entry 1:
The following is a PBE-GGA calculation of a relaxed structure of RbTbAgI5, from Alexandria via LeMat-Bulk.

abc: 8.5387 8.5387 11.5315
angles: 102.81 102.81 107.28
Positions (direct):
1 Rb 0.1449 0.8551 0.7500
2 Rb 0.8551 0.1449 0.2500
3 Tb 0.5000 0.5000 0.0000
4 Tb 0.5000 0.5000 0.5000
5 Ag 0.1896 0.8104 0.2500
6 Ag 0.8104 0.1896 0.7500
7 I 0.1276 0.2617 0.9424
8 I 0.1848 0.5852 0.3982
9 I 0.2617 0.1276 0.4424
10 I 0.4148 0.8152 0.1018
11 I 0.4223 0.5777 0.7500
12 I 0.5777 0.4223 0.2500
13 I 0.5852 0.1848 0.8982
14 I 0.7383 0.8724 0.5576
15 I 0.8152 0.4148 0.6018
16 I 0.8724 0.7383 0.0576

Calculated values
- formation energy from raw total energies (eV per atom) = -1.124
- total DFT energy (no corrections) (eV per cell) = -50.38

***

Entry 2:
The following is a PBE-GGA calculation of a relaxed structure of CsLa3Ta, from Alexandria via LeMat-Bulk.

abc: 5.9408 5.9408 5.9408
angles: 90.00 90.00 90.00
Positions (direct):
1 Cs 0.0000 0.0000 0.0000
2 La 0.0000 0.5000 0.5000
3 La 0.5000 0.0000 0.5000
4 La 0.5000 0.5000 0.0000
5 Ta 0.5000 0.5000 0.5000

Calculated values
- total DFT energy (no corrections) (eV per cell) = -24.52
- energy above the lowest structure with this stoichiometry (meV/atom) = 0.0
- energy of formation (eV/atom) = 0.593

***

Entry 3:
The following is a PBE-GGA calculation of a relaxed structure of La4NdPb2, from Alexandria via LeMat-Bulk.

abc: 7.8322 7.8322 7.8322
angles: 133.68 133.68 67.59
Positions (direct):
1 La 0.0000 0.5000 0.5000
2 La 0.2500 0.7500 0.5000
3 La 0.5000 0.0000 0.5000
4 La 0.7500 0.2500 0.5000
5 Nd 0.0000 0.0000 0.0000
6 Pb 0.3704 0.3704 0.0000
7 Pb 0.6296 0.6296 0.0000

Calculated values
- total DFT energy (no corrections) (eV per cell) = -32.19
- energy of formation (eV/atom) = -0.042

***

Entry 4:
The following is a PBE-GGA calculation of a relaxed structure of PuCo2Si2, from Alexandria via LeMat-Bulk.

abc: 5.6463 5.6463 5.6463
angles: 139.96 139.96 57.91
Positions (direct):
1 Pu 0.0000 0.0000 0.0000
2 Co 0.2500 0.7500 0.5000
3 Co 0.7500 0.2500 0.5000
4 Si 0.3721 0.3721 0.0000
5 Si 0.6279 0.6279 0.0000

Calculated values
- formation energy from raw total energies (eV per atom) = -0.634
- total DFT energy (no corrections) (eV per cell) = -42.56

***

Entry 5:
The following is a PBE-GGA calculation of a relaxed structure of Pr4NiSBr2, from Alexandria via LeMat-Bulk.

abc: 7.3263 4.0217 7.8642
angles: 90.00 107.35 90.00
Positions (direct):
1 Pr 0.2183 0.0000 0.2010
2 Pr 0.2678 0.5000 0.7936
3 Pr 0.7322 0.5000 0.2064
4 Pr 0.7817 0.0000 0.7990
5 Ni 0.0000 0.5000 0.0000
6 S 0.5000 0.0000 0.0000
7 Br 0.0000 0.0000 0.5000
8 Br 0.5000 0.5000 0.5000

Calculated values
- formation energy from raw total energies (eV per atom) = -1.215
- total DFT energy (no corrections) (eV per cell) = -42.09

***

Entry 6:
The following is a PBE-GGA calculation of a relaxed structure of TmSbPdRu, from Alexandria via LeMat-Bulk.

abc: 4.7030 4.7030 4.7030
angles: 60.00 60.00 60.00
Positions (direct):
1 Tm 0.0000 0.0000 0.0000
2 Sb 0.5000 0.5000 0.5000
3 Pd 0.2500 0.2500 0.2500
4 Ru 0.7500 0.7500 0.7500

Calculated values
- formation energy from raw total energies (eV per atom) = -0.536
- total DFT energy (no corrections) (eV per cell) = -25.21

***

Entry 7:
The following is a PBE-GGA calculation of a relaxed structure of VBiPd, from Alexandria via LeMat-Bulk.

abc: 10.6343 3.3310 3.3310
angles: 90.16 90.00 90.00
Positions (direct):
1 V 0.1308 0.0000 0.0000
2 V 0.8692 0.0000 0.0000
3 Bi 0.3172 0.5005 0.5005
4 Bi 0.6828 0.5005 0.5005
5 Pd 0.0000 0.4999 0.4999
6 Pd 0.5000 0.0010 0.0010

Calculated values
- total DFT energy (no corrections) (eV per cell) = -35.44
- energy of formation (eV/atom) = 0.157

***

Entry 8:
The following is a PBE-GGA calculation of a relaxed structure of TlZnTc, from Alexandria via LeMat-Bulk.

abc: 5.4708 5.4708 5.4708
angles: 144.89 144.89 50.50
Positions (direct):
1 Tl 0.0000 0.0000 0.0000
2 Zn 0.6990 0.6990 0.0000
3 Tc 0.3112 0.3112 0.0000

Calculated values
- total DFT energy (no corrections) (eV per cell) = -12.40
- energy above the lowest structure with this stoichiometry (meV/atom) = 0.0
- energy of formation (eV/atom) = 0.534

***

Entry 9:
The following is a PBE-GGA calculation of a relaxed structure of K2NaGeAs2, from Alexandria via LeMat-Bulk.

abc: 8.9856 8.9856 8.9856
angles: 135.10 64.49 136.25
Positions (direct):
1 K 0.1744 0.2463 0.4208
2 K 0.3256 0.7463 0.0719
3 K 0.6744 0.2537 0.9281
4 K 0.8256 0.7537 0.5792
5 Na 0.2500 0.2500 0.0000
6 Na 0.7500 0.7500 0.0000
7 Ge 0.2500 0.7500 0.5000
8 Ge 0.7500 0.2500 0.5000
9 As 0.0972 0.7104 0.8076
10 As 0.4028 0.2104 0.6133
11 As 0.5972 0.7896 0.3867
12 As 0.9028 0.2896 0.1924

Calculated values
- total DFT energy (no corrections) (eV per cell) = -39.34
- energy of formation (eV/atom) = -0.373

***

Entry 10:
The following is a PBE-GGA calculation of a relaxed structure of NaCa4Cd, from Alexandria via LeMat-Bulk.

abc: 5.8285 5.8285 8.5810
angles: 109.59 109.59 60.12
Positions (direct):
1 Na 0.0000 0.0000 0.0000
2 Ca 0.2020 0.2020 0.6063
3 Ca 0.3735 0.3735 0.1221
4 Ca 0.6265 0.6265 0.8779
5 Ca 0.7980 0.7980 0.3937
6 Cd 0.5000 0.5000 0.5000

Calculated values
- total DFT energy (no corrections) (eV per cell) = -10.08
- energy above the lowest structure with this stoichiometry (meV/atom) = 121.3
- energy of formation (eV/atom) = 0.027

***

Entry 11:
The following is a PBE-GGA calculation of a relaxed structure of AlCuOsO6, from Alexandria via LeMat-Bulk.

abc: 4.9424 4.9424 8.8439
angles: 90.00 90.00 120.00
Positions (direct):
1 Al 0.3333 0.6667 0.2500
2 Al 0.6667 0.3333 0.7500
3 Cu 0.0000 0.0000 0.0000
4 Cu 0.0000 0.0000 0.5000
5 Os 0.3333 0.6667 0.7500
6 Os 0.6667 0.3333 0.2500
7 O 0.0006 0.3566 0.6326
8 O 0.0006 0.6440 0.8674
9 O 0.3560 0.3566 0.8674
10 O 0.3560 0.9994 0.6326
11 O 0.3566 0.0006 0.1326
12 O 0.3566 0.3560 0.3674
13 O 0.6434 0.6440 0.6326
14 O 0.6434 0.9994 0.8674
15 O 0.6440 0.0006 0.3674
16 O 0.6440 0.6434 0.1326
17 O 0.9994 0.3560 0.1326
18 O 0.9994 0.6434 0.3674

Calculated values
- formation energy from raw total energies (eV per atom) = -1.321
- total DFT energy (no corrections) (eV per cell) = -121.41

***

Entry 12:
The following is a PBE-GGA calculation of a relaxed structure of Ba2CaInF, from Alexandria via LeMat-Bulk.

abc: 6.0609 6.0609 4.6082
angles: 90.00 90.00 90.00
Positions (direct):
1 Ba 0.0000 0.5000 0.0000
2 Ba 0.5000 0.0000 0.0000
3 Ca 0.0000 0.0000 0.5000
4 In 0.5000 0.5000 0.5000
5 F 0.0000 0.0000 0.0000

Calculated values
- formation energy from raw total energies (eV per atom) = -1.240
- total DFT energy (no corrections) (eV per cell) = -16.66